Below is a relaxed structure of CeVGa2O8, with properties calculated at the PBE+U level.

## Properties
N(E_F) (states/eV/atom): 0.490
Calculated total energy (eV/atom): -6.897

Unit cell a=6.5849 b=6.6345 c=6.3831 alpha=90.00 beta=90.00 gamma=90.00
Space group Cmmm (No. 65)
Symmetry-distinct sites (fractional):
Ce (0.0000, 0.0000, 0.0000)
V (0.0000, 0.0000, 0.5000)
Ga (0.0000, 0.5000, 0.2654)
O (0.0000, 0.2963, 0.5000)
O (0.0000, 0.3240, 0.0000)
O (0.1970, 0.0000, 0.2889)